# YGe3Rh3

A relaxed structure of YGe3Rh3 (PBE-GGA, Alexandria via LeMat-Bulk).

For the total magnetization, the calculation gives 0.0 Bohr magnetons per cell. The density of states at the Fermi level comes out at 0.52 states/eV/atom. The calculation puts the energy of formation at -53 kJ/mol of atoms. As for the space-group type: R-3. The value obtained for the final energy is -92.363 eV for the cell shown. The calculation puts the energy relative to the lowest polymorph listed for this composition at 0 meV/atom.

abc: 7.668 7.668 7.668
angles: 53.40 53.40 53.40
Element x y z (fractional)
1 Y 0.169 0.169 0.169
2 Y 0.831 0.831 0.831
3 Ge 0.147 0.701 0.386
4 Ge 0.299 0.614 0.853
5 Ge 0.386 0.147 0.701
6 Ge 0.614 0.853 0.299
7 Ge 0.701 0.386 0.147
8 Ge 0.853 0.299 0.614
9 Rh 0.009 0.585 0.259
10 Rh 0.259 0.009 0.585
11 Rh 0.415 0.741 0.991
12 Rh 0.585 0.259 0.009
13 Rh 0.741 0.991 0.415
14 Rh 0.991 0.415 0.741


# AlS2O6F2

A relaxed structure of AlS2O6F2 (PBE-GGA, Alexandria via LeMat-Bulk).

The calculation puts the formation energy without anion corrections at -1.53 eV/atom. For the total magnetization, the calculation gives 0.0 Bohr magnetons per cell. The density of states at the Fermi level comes out at 0.25 states/eV/atom. As for the space-group type: P-3. The value obtained for the final energy is -62.341 eV for the cell shown.

abc: 5.005 5.005 6.722
angles: 90.00 90.00 120.00
Element x y z (fractional)
1 Al 0.000 0.000 0.000
2 S 0.333 0.667 0.768
3 S 0.667 0.333 0.232
4 O 0.103 0.752 0.834
5 O 0.248 0.351 0.834
6 O 0.351 0.103 0.166
7 O 0.649 0.897 0.834
8 O 0.752 0.649 0.166
9 O 0.897 0.248 0.166
10 F 0.333 0.667 0.507
11 F 0.667 0.333 0.493


# SbTeAs2

A relaxed structure of SbTeAs2 (PBE-GGA, Alexandria via LeMat-Bulk).

The calculation puts the formation energy without anion corrections at 0.35 eV/atom. For the total magnetization, the calculation gives 0.0 Bohr magnetons per cell. The density of states at the Fermi level comes out at 0.59 states/eV/atom. As for the space-group type: Cmm2. The value obtained for the final energy is -15.168 eV for the cell shown. The calculation puts the energy relative to the lowest polymorph listed for this composition at 278 meV/atom.

abc: 3.216 3.216 10.323
angles: 90.00 90.00 112.23
Element x y z (fractional)
1 Sb 0.000 0.000 0.000
2 Te 0.500 0.500 0.268
3 As 0.000 0.000 0.556
4 As 0.500 0.500 0.733


# TaP3

A relaxed structure of TaP3 (PBE-GGA, Alexandria via LeMat-Bulk).

For the total magnetization, the calculation gives 0.0 Bohr magnetons per cell. The density of states at the Fermi level comes out at 0.66 states/eV/atom. The calculation puts the energy of formation at -1 kJ/mol of atoms. As for the space-group type: P4/mmm. The value obtained for the final energy is -28.142 eV for the cell shown.

abc: 3.224 3.224 5.806
angles: 90.00 90.00 90.00
Element x y z (fractional)
1 Ta 0.000 0.000 0.000
2 P 0.000 0.000 0.500
3 P 0.500 0.500 0.223
4 P 0.500 0.500 0.777


# LaIO2

A relaxed structure of LaIO2 (PBE-GGA, Alexandria via LeMat-Bulk).

The calculation puts the formation energy without anion corrections at -1.65 eV/atom. For the total magnetization, the calculation gives 2.0 Bohr magnetons per cell. The density of states at the Fermi level comes out at 0.80 states/eV/atom. As for the space-group type: R-3m. The value obtained for the final energy is -22.985 eV for the cell shown. The calculation puts the energy relative to the lowest polymorph listed for this composition at 512 meV/atom.

abc: 6.866 6.866 6.866
angles: 32.34 32.34 32.34
Element x y z (fractional)
1 La 0.000 0.000 0.000
2 I 0.500 0.500 0.500
3 O 0.284 0.284 0.284
4 O 0.716 0.716 0.716


# Pm3Ni2Hg

A relaxed structure of Pm3Ni2Hg (PBE-GGA, Alexandria via LeMat-Bulk).

For the total magnetization, the calculation gives 0.0 Bohr magnetons per cell. The density of states at the Fermi level comes out at 0.91 states/eV/atom. The calculation puts the energy of formation at -31 kJ/mol of atoms. As for the space-group type: P4/mmm. The value obtained for the final energy is -28.040 eV for the cell shown. The calculation puts the energy relative to the lowest polymorph listed for this composition at 14 meV/atom.

abc: 3.520 3.520 11.218
angles: 90.00 90.00 90.00
Element x y z (fractional)
1 Pm 0.000 0.000 0.000
2 Pm 0.000 0.000 0.304
3 Pm 0.000 0.000 0.696
4 Ni 0.500 0.500 0.158
5 Ni 0.500 0.500 0.842
6 Hg 0.500 0.500 0.500


# CeEr3Pb2

A relaxed structure of CeEr3Pb2 (PBE-GGA, Alexandria via LeMat-Bulk).

For the total magnetization, the calculation gives 0.7 Bohr magnetons per cell. The density of states at the Fermi level comes out at 1.22 states/eV/atom. The calculation puts the energy of formation at -34 kJ/mol of atoms. As for the space-group type: P-4m2. The value obtained for the final energy is -29.130 eV for the cell shown. The calculation puts the energy relative to the lowest polymorph listed for this composition at 0 meV/atom.

abc: 4.544 4.544 8.558
angles: 90.00 90.00 90.00
Element x y z (fractional)
1 Ce 0.000 0.000 0.000
2 Er 0.000 0.500 0.343
3 Er 0.500 0.000 0.657
4 Er 0.500 0.500 0.000
5 Pb 0.000 0.500 0.712
6 Pb 0.500 0.000 0.288


Repeat the third record exactly.
# SbTeAs2

A relaxed structure of SbTeAs2 (PBE-GGA, Alexandria via LeMat-Bulk).

The calculation puts the formation energy without anion corrections at 0.35 eV/atom. For the total magnetization, the calculation gives 0.0 Bohr magnetons per cell. The density of states at the Fermi level comes out at 0.59 states/eV/atom. As for the space-group type: Cmm2. The value obtained for the final energy is -15.168 eV for the cell shown. The calculation puts the energy relative to the lowest polymorph listed for this composition at 278 meV/atom.

abc: 3.216 3.216 10.323
angles: 90.00 90.00 112.23
Element x y z (fractional)
1 Sb 0.000 0.000 0.000
2 Te 0.500 0.500 0.268
3 As 0.000 0.000 0.556
4 As 0.500 0.500 0.733